Entry 1:
Compound: Ce6C2SBr3
Source: Alexandria
Functional: PBE-GGA
Structure: relaxed

```
12
Lattice="6.6387 -0.0020 -0.0005 -3.3195 5.7492 -0.0005 -1.1077 -1.9180 7.3777" Properties=species:S:1:pos:R:3 pbc="T T T"
C -0.0038 3.8343 -0.0005
C 3.3230 1.9129 -0.0005
Br 4.4785 -0.0334 3.6884
Br 1.1057 1.9146 3.6884
Br -2.2671 3.8625 3.6884
Ce 2.3583 -0.0014 1.4128
Ce -1.1798 2.0420 1.4128
Ce -0.1469 3.8306 5.9639
Ce 2.1403 3.7058 1.4021
Ce 3.3913 1.7871 5.9639
Ce 0.0712 0.1233 5.9747
S 0.0000 0.0000 0.0000
```

Output
As for the theoretical density: 6.7 g/cm3. For the calculated total energy, the calculation gives -76.22 eV for the cell shown. As for the space group: C2/m.

***

Entry 2:
Compound: Pm4In3Sn5
Source: Alexandria
Functional: PBE-GGA
Structure: relaxed

```
12
Lattice="5.2450 0.0000 0.0000 2.6225 5.1526 -2.5290 2.6225 -0.6685 13.6047" Properties=species:S:1:pos:R:3 pbc="T T T"
Sn 7.8674 2.2093 8.7415
Sn 5.2450 -0.1571 12.1870
Sn 5.2450 4.6412 -1.1112
Sn 5.2450 2.2421 5.5379
Sn 2.6225 2.2749 2.3342
Pm 5.2450 4.5213 7.6549
Pm 5.2450 2.6927 10.8454
Pm 5.2449 -0.0371 3.4208
Pm 5.2450 1.7914 0.2303
In 5.2450 0.5159 8.0718
In 2.6225 2.2421 5.5379
In 5.2450 3.9683 3.0040
```

Output
As for the theoretical density: 7.0 g/cm3. For the calculated total energy, the calculation gives -51.37 eV for the cell shown. The calculation puts the formation energy at -0.345 eV per atom. As for the space group: C2/m.

***

Entry 3:
Compound: SrCaRu2
Source: Alexandria
Functional: PBE-GGA
Structure: relaxed

```
4
Lattice="-5.6432 -4.2858 -6.3447 -4.5395 -6.8725 -4.7571 -7.0746 -5.2338 -3.6093" Properties=species:S:1:pos:R:3 pbc="T T T"
Ru -8.5873 -8.1568 -7.3203
Ru -0.0414 -0.0393 -0.0353
Ca -12.9430 -12.2941 -11.0333
Sr -4.3143 -4.0980 -3.6778
```

Output
As for the theoretical density: 6.5 g/cm3. For the calculated total energy, the calculation gives -19.07 eV for the cell shown. The calculation puts the formation energy at 0.791 eV per atom. As for the offset from the most stable computed form: 487 meV per atom. As for the space group: R-3m.

***

Entry 4:
Compound: HoTaRu
Source: Alexandria
Functional: PBE-GGA
Structure: relaxed

```
12
Lattice="-1.5793 5.2486 -0.0398 -6.1847 -0.3618 -3.4202 -4.7268 0.1428 5.2646" Properties=species:S:1:pos:R:3 pbc="T T T"
Ta -6.3652 1.6060 -0.1445
Ta -6.1256 3.4236 1.9492
Ta -5.6356 1.8584 4.1975
Ta -6.8553 3.1712 -2.3929
Ru -6.0649 0.4475 2.1120
Ru -6.7939 0.1955 -2.2305
Ru -6.4260 4.5820 -0.3074
Ru -5.6970 4.8341 4.0351
Ho -9.1728 3.7986 0.1995
Ho -8.7738 1.1212 2.5278
Ho -3.3180 1.2310 1.6051
Ho -3.7171 3.9084 -0.7232
```

Output
As for the theoretical density: 11.5 g/cm3. For the calculated total energy, the calculation gives -104.47 eV for the cell shown. The calculation puts the formation energy at -0.137 eV per atom. As for the space group: P2_1/m.

***

Entry 5:
Compound: ErTe2As2Pd7
Source: Alexandria
Functional: PBE-GGA
Structure: relaxed

```
12
Lattice="-3.2199 1.2623 -2.0418 0.9439 -2.4737 -3.0199 -9.3833 -11.4525 3.7992" Properties=species:S:1:pos:R:3 pbc="T T T"
Pd -4.4562 -4.9688 0.0088
Pd -3.9238 -1.5210 -2.6516
Pd -1.1380 -0.6057 -2.5308
Pd -1.8422 -3.3887 -3.1406
Pd -7.7356 -11.1429 1.3892
Pd -9.8172 -9.2752 1.8781
Pd -7.2031 -7.6951 -1.2712
As -8.5485 -9.4642 -0.2415
As -3.1108 -3.1997 -1.0210
Te -5.7259 -5.7482 -2.4195
Te -5.9334 -6.9158 1.1570
Er 0.0000 0.0000 0.0000
```

Output
As for the theoretical density: 9.0 g/cm3. For the calculated total energy, the calculation gives -62.84 eV for the cell shown. As for the space group: C2/m.

***

Entry 6:
Compound: Nd5Hg4Pb
Source: Alexandria
Functional: PBE-GGA
Structure: relaxed

```
10
Lattice="3.8179 0.0000 0.0000 0.0000 3.8179 0.0000 0.0000 0.0000 19.7070" Properties=species:S:1:pos:R:3 pbc="T T T"
Nd 1.9090 1.9090 13.7183
Nd 1.9090 1.9090 9.8535
Nd 1.9090 1.9090 5.9886
Nd 1.9090 1.9090 17.5899
Nd 1.9090 1.9090 2.1171
Hg 0.0000 0.0000 7.8952
Hg 0.0000 0.0000 15.6151
Hg 0.0000 0.0000 11.8118
Hg 0.0000 0.0000 4.0918
Pb 0.0000 0.0000 0.0000
```

Output
As for the theoretical density: 10.0 g/cm3. For the calculated total energy, the calculation gives -33.56 eV for the cell shown. The calculation puts the formation energy at -0.480 eV per atom. As for the space group: P4/mmm.

***

Entry 7:
Compound: MnAlPt2
Source: Alexandria
Functional: PBE-GGA
Structure: relaxed

```
4
Lattice="-4.8545 1.3443 6.9278 -5.4870 -1.4176 6.4226 -3.1369 -0.7332 7.9366" Properties=species:S:1:pos:R:3 pbc="T T T"
Al -3.3696 -0.2016 5.3217
Pt -6.7790 -0.4056 10.7063
Pt -13.4386 -0.8041 21.2241
Mn -10.1088 -0.6049 15.9652
```

Output
As for the theoretical density: 13.0 g/cm3. For the calculated total energy, the calculation gives -26.91 eV for the cell shown. The calculation puts the formation energy at -0.479 eV per atom. As for the space group: R-3m.

***

Entry 8:
Compound: Ca2MgSe
Source: Alexandria
Functional: PBE-GGA
Structure: relaxed

```
4
Lattice="3.6303 0.1975 0.0000 -0.2314 3.6283 0.0000 0.0000 0.0000 8.9231" Properties=species:S:1:pos:R:3 pbc="T T T"
Ca 1.6995 1.9129 2.4835
Ca 0.0000 0.0000 8.2588
Mg 0.0000 0.0000 4.9486
Se 1.6995 1.9129 6.6169
```

Output
As for the theoretical density: 2.6 g/cm3. For the calculated total energy, the calculation gives -11.70 eV for the cell shown. As for the offset from the most stable computed form: 233 meV per atom. As for the space group: Cmm2.

***

Copy entry 3 word for word.
Compound: SrCaRu2
Source: Alexandria
Functional: PBE-GGA
Structure: relaxed

```
4
Lattice="-5.6432 -4.2858 -6.3447 -4.5395 -6.8725 -4.7571 -7.0746 -5.2338 -3.6093" Properties=species:S:1:pos:R:3 pbc="T T T"
Ru -8.5873 -8.1568 -7.3203
Ru -0.0414 -0.0393 -0.0353
Ca -12.9430 -12.2941 -11.0333
Sr -4.3143 -4.0980 -3.6778
```

Output
As for the theoretical density: 6.5 g/cm3. For the calculated total energy, the calculation gives -19.07 eV for the cell shown. The calculation puts the formation energy at 0.791 eV per atom. As for the offset from the most stable computed form: 487 meV per atom. As for the space group: R-3m.

***

- Which formula does entry 8 have?
  Ca2MgSe

***

- Among the records above, which one has the highest theoretical density?
  MnAlPt2